KTiVF6: optimized geometry, PBE with a Hubbard U.

The value obtained for the total energy is -109.39 eV per cell. The total moment comes out at 0.44 μB/atom.

It has space group P-31c (No. 163), with a = 5.5137 Å, b = 5.5137 Å, c = 11.4329 Å, α = 90.00°, β = 90.00° and γ = 120.00°. Symmetry generates all atoms from K at (0.0000, 0.0000, 0.0000), Ti at (0.3333, 0.6667, 0.2500), V at (0.3333, 0.6667, 0.7500) and F at (0.0173, 0.3778, 0.1536).